Record 1
Below is a crystal of Y2Fe17H3 relaxed with PBEsol, with properties calculated at the meta-GGA SCAN level.

a b c (Å): 7.9804 8.3055 8.3055
angles (deg): 120.00 90.00 90.00
Last column: nearest neighbours and their distance in Å.
Sites, in units of the cell vectors:
1 Y 0.7500 0.6667 0.3333  3 H 2.42
2 Y 0.2500 0.3333 0.6667  3 H 2.42
3 Y 0.7500 0.0000 0.0000  3 H 2.37
4 Y 0.2500 0.0000 0.0000  3 H 2.37
5 Fe 0.7500 0.6213 0.6719  1 H 1.78
6 Fe 0.2500 0.3787 0.3281  1 H 1.78
7 Fe 0.7500 0.0506 0.3787  1 H 1.78
8 Fe 0.2500 0.9494 0.3281  1 H 1.78
9 Fe 0.2500 0.9494 0.6213  1 H 1.78
10 Fe 0.7500 0.0506 0.6719  1 H 1.78
11 Fe 0.7500 0.3281 0.9494  1 H 1.78
12 Fe 0.2500 0.6719 0.6213  1 H 1.78
13 Fe 0.2500 0.6719 0.0506  1 H 1.78
14 Fe 0.7500 0.3281 0.3787  1 H 1.78
15 Fe 0.2500 0.3787 0.0506  1 H 1.78
16 Fe 0.7500 0.6213 0.9494  1 H 1.78
17 Fe 0.3930 0.6667 0.3333  4 Fe 2.28-2.55
18 Fe 0.6070 0.3333 0.6667  4 Fe 2.28-2.55
19 Fe 0.8930 0.3333 0.6667  4 Fe 2.28-2.55
20 Fe 0.1070 0.6667 0.3333  4 Fe 2.28-2.55
21 Fe 0.9853 0.8332 0.1668  1 H 1.88
22 Fe 0.0147 0.1668 0.8332  1 H 1.88
23 Fe 0.9853 0.3335 0.1668  1 H 1.88
24 Fe 0.4853 0.1668 0.8332  1 H 1.88
25 Fe 0.0147 0.6665 0.8332  1 H 1.88
26 Fe 0.5147 0.8332 0.1668  1 H 1.88
27 Fe 0.9853 0.8332 0.6665  1 H 1.88
28 Fe 0.4853 0.6665 0.8332  1 H 1.88
29 Fe 0.0147 0.1668 0.3335  1 H 1.88
30 Fe 0.5147 0.3335 0.1668  1 H 1.88
31 Fe 0.4853 0.1668 0.3335  1 H 1.88
32 Fe 0.5147 0.8332 0.6665  1 H 1.88
33 Fe 0.0000 0.5000 0.5000  10 Fe 2.37-2.55
34 Fe 0.0000 0.0000 0.5000  10 Fe 2.37-2.55
35 Fe 0.5000 0.5000 0.5000  10 Fe 2.37-2.55
36 Fe 0.0000 0.5000 0.0000  10 Fe 2.37-2.55
37 Fe 0.5000 0.0000 0.5000  10 Fe 2.37-2.55
38 Fe 0.5000 0.5000 0.0000  10 Fe 2.37-2.55
39 H 0.7500 0.8351 0.1649  4 Fe 1.78-1.88
40 H 0.2500 0.1649 0.8351  4 Fe 1.78-1.88
41 H 0.7500 0.3299 0.1649  4 Fe 1.78-1.88
42 H 0.2500 0.6701 0.8351  4 Fe 1.78-1.88
43 H 0.7500 0.8351 0.6701  4 Fe 1.78-1.88
44 H 0.2500 0.1649 0.3299  4 Fe 1.78-1.88

Summary:
Calculated total energy, eV/atom: -17.047
Calculated volume, Å³ per cell: 477
Space-group type: No. 194

Record 2
Below is a crystal of LiAl5 relaxed with PBEsol, with properties calculated at the meta-GGA SCAN level.

a b c (Å): 2.8452 5.4327 6.8055
angles (deg): 105.75 90.00 105.18
Last column: nearest neighbours and their distance in Å.
Sites, in units of the cell vectors:
1 Al 0.0033 0.0066 0.0029  3 Li 2.81-2.86, 9 Al 2.82-2.87
2 Al 0.3313 0.6626 0.6718  1 Li 2.81, 11 Al 2.83-2.90
3 Al 0.6694 0.3387 0.3340  10 Al 2.78-2.88, 2 Li 2.86
4 Al 0.6082 0.2164 0.7161  10 Al 2.81-2.87, 2 Li 2.87
5 Al 0.9425 0.8851 0.3870  10 Al 2.78-2.90, 2 Li 2.81
6 Li 0.2786 0.5573 0.0548  10 Al 2.81-2.87, 2 Li 2.85

Summary:
Calculated total energy, eV/atom: -6.878
Calculated volume, Å³ per cell: 97
Distance to the lowest polymorph of the same formula, meV per atom: 17
Formation energy from the elements, kcal/mol of atoms: -0.45
Space-group type: No. 8

Record 3
Below is a crystal of RuO2F6 relaxed with PBEsol, with properties calculated at the meta-GGA SCAN level.

a b c (Å): 8.9486 8.9486 8.9486
angles (deg): 109.47 109.47 109.47
Last column: nearest neighbours and their distance in Å.
Sites, in units of the cell vectors:
1 Ru 0.0000 0.0000 0.0000  6 F 1.84
2 Ru 0.5000 0.5000 0.0000  6 F 1.84
3 Ru 0.0000 0.5000 0.5000  6 F 1.84
4 Ru 0.5000 0.0000 0.5000  6 F 1.84
5 O 0.4334 0.0000 0.0000  1 O 1.19
6 O 0.0666 0.0666 0.5666  1 O 1.19
7 O 0.0000 0.5000 0.9334  1 O 1.19
8 O 0.5000 0.4334 0.5000  1 O 1.19
9 O 0.5666 0.0000 0.0000  1 O 1.19
10 O 0.9334 0.9334 0.4334  1 O 1.19
11 O 0.0000 0.5000 0.0666  1 O 1.19
12 O 0.5000 0.5666 0.5000  1 O 1.19
13 F 0.9137 0.1484 0.9508  1 Ru 1.84
14 F 0.5370 0.7347 0.0863  1 Ru 1.84
15 F 0.0492 0.6977 0.4630  1 Ru 1.84
16 F 0.1484 0.4508 0.4137  1 Ru 1.84
17 F 0.4508 0.9137 0.6484  1 Ru 1.84
18 F 0.3516 0.7653 0.3023  1 Ru 1.84
19 F 0.7347 0.5863 0.0370  1 Ru 1.84
20 F 0.7653 0.8023 0.8516  1 Ru 1.84
21 F 0.9630 0.0492 0.1977  1 Ru 1.84
22 F 0.8023 0.3516 0.2653  1 Ru 1.84
23 F 0.5863 0.5370 0.2347  1 Ru 1.84
24 F 0.6977 0.9630 0.5492  1 Ru 1.84
25 F 0.0863 0.8516 0.0492  1 Ru 1.84
26 F 0.4630 0.2653 0.9137  1 Ru 1.84
27 F 0.9508 0.3023 0.5370  1 Ru 1.84
28 F 0.8516 0.5492 0.5863  1 Ru 1.84
29 F 0.5492 0.0863 0.3516  1 Ru 1.84
30 F 0.6484 0.2347 0.6977  1 Ru 1.84
31 F 0.2653 0.4137 0.9630  1 Ru 1.84
32 F 0.2347 0.1977 0.1484  1 Ru 1.84
33 F 0.0370 0.9508 0.8023  1 Ru 1.84
34 F 0.1977 0.6484 0.7347  1 Ru 1.84
35 F 0.4137 0.4630 0.7653  1 Ru 1.84
36 F 0.3023 0.0370 0.4508  1 Ru 1.84

Summary:
Calculated total energy, eV/atom: -8.916
Calculated volume, Å³ per cell: 552
Uncorrected formation energy, eV per atom: -1.302
Space-group type: No. 206

Record 4
Below is a crystal of IrBr5 relaxed with PBEsol, with properties calculated at the meta-GGA SCAN level.

a b c (Å): 4.9311 4.9311 6.9211
angles (deg): 90.00 90.00 120.00
Last column: nearest neighbours and their distance in Å.
Sites, in units of the cell vectors:
1 Ir 0.0000 0.0000 0.5000  6 Br 2.85
2 Br 0.3340 0.3340 0.0000  6 Br 2.84-2.85
3 Br 0.6660 0.0000 0.0000  6 Br 2.84-2.85
4 Br 0.0000 0.6660 0.0000  6 Br 2.84-2.85
5 Br 0.3333 0.6667 0.5000  3 Br 2.85, 3 Ir 2.85
6 Br 0.6667 0.3333 0.5000  3 Br 2.85, 3 Ir 2.85

Summary:
Calculated total energy, eV/atom: -27.096
Calculated volume, Å³ per cell: 146
Uncorrected formation energy, eV per atom: 0.970
Space-group type: No. 189